Entry 1:
First-principles (PBE-GGA) data for crystalline Ca2AcSb at its relaxed geometry, as listed in the Alexandria database.

Computed properties:
For the relative energy among the computed polymorphs, the calculation gives 0.028 eV/atom.

a = 4.279 Å, b = 4.279 Å, c = 7.534 Å
α = 90.00°, β = 90.00°, γ = 90.00°
Space group P4/mmm (No. 123)
Unique sites:
Ca 0.000 0.000 0.205 [2 per cell]
Ac 0.500 0.500 0.500 [1 per cell]
Sb 0.500 0.500 0.000 [1 per cell]

Entry 2:
First-principles (PBE-GGA) data for crystalline CaAcSnSb at its relaxed geometry, as listed in the Alexandria database.

Computed properties:
The total energy comes out at -67.790 eV per cell.

a = 8.009 Å, b = 8.009 Å, c = 8.009 Å
α = 90.00°, β = 90.00°, γ = 90.00°
Space group F-43m (No. 216)
Unique sites:
Ca 0.000 0.000 0.000 [4 per cell]
Ac 0.000 0.000 0.500 [4 per cell]
Sn 0.250 0.250 0.250 [4 per cell]
Sb 0.250 0.250 0.750 [4 per cell]

Entry 3:
First-principles (PBE-GGA) data for crystalline CaAc2TmSb4 at its relaxed geometry, as listed in the Alexandria database.

Computed properties:
The total energy comes out at -39.430 eV per cell.

a = 7.849 Å, b = 4.657 Å, c = 8.111 Å
α = 90.00°, β = 109.90°, γ = 90.00°
Space group P2/m (No. 10)
Unique sites:
Ca 0.000 0.000 0.000 [1 per cell]
Ac 0.500 0.000 0.500 [1 per cell]
Ac 0.500 0.500 0.000 [1 per cell]
Tm 0.000 0.500 0.500 [1 per cell]
Sb 0.226 0.000 0.736 [2 per cell]
Sb 0.229 0.500 0.250 [2 per cell]

Entry 4:
First-principles (PBE-GGA) data for crystalline CaAc2Sc at its relaxed geometry, as listed in the Alexandria database.

Computed properties:
For the relative energy among the computed polymorphs, the calculation gives 0.040 eV/atom. The formation energy comes out at 0.107 eV/atom.

a = 8.462 Å, b = 8.462 Å, c = 8.462 Å
α = 90.00°, β = 90.00°, γ = 90.00°
Space group Fm-3m (No. 225)
Unique sites:
Ca 0.000 0.000 0.000 [4 per cell]
Ac 0.250 0.250 0.250 [8 per cell]
Sc 0.000 0.000 0.500 [4 per cell]

Entry 5:
First-principles (PBE-GGA) data for crystalline CaAcSc at its relaxed geometry, as listed in the Alexandria database.

Computed properties:
For the relative energy among the computed polymorphs, the calculation gives 0.000 eV/atom. The formation energy comes out at 0.054 eV/atom.

a = 3.970 Å, b = 3.970 Å, c = 14.152 Å
α = 90.00°, β = 90.00°, γ = 90.00°
Space group P4/nmm (No. 129, origin choice 2)
Unique sites:
Ca 0.250 0.250 0.096 [2 per cell]
Ac 0.250 0.250 0.706 [2 per cell]
Sc 0.250 0.250 0.449 [2 per cell]

Entry 6:
First-principles (PBE-GGA) data for crystalline CaAcSc at its relaxed geometry, as listed in the Alexandria database.

Computed properties:
For the relative energy among the computed polymorphs, the calculation gives 0.076 eV/atom. The formation energy comes out at 0.129 eV/atom.

a = 4.021 Å, b = 4.021 Å, c = 13.488 Å
α = 90.00°, β = 90.00°, γ = 90.00°
Space group I4mm (No. 107)
Unique sites:
Ca 0.000 0.000 0.000 [2 per cell]
Ac 0.000 0.000 0.299 [2 per cell]
Sc 0.000 0.000 0.647 [2 per cell]

Entry 7:
First-principles (PBE-GGA) data for crystalline Ca3Ac12Sc at its relaxed geometry, as listed in the Alexandria database.

Computed properties:
The formation energy comes out at 0.043 eV/atom.

a = 5.544 Å, b = 5.544 Å, c = 22.229 Å
α = 90.00°, β = 90.00°, γ = 90.00°
Space group P4/mmm (No. 123)
Unique sites:
Ca 0.000 0.000 0.000 [1 per cell]
Ca 0.000 0.000 0.254 [2 per cell]
Ac 0.000 0.500 0.127 [4 per cell]
Ac 0.000 0.500 0.382 [4 per cell]
Ac 0.500 0.500 0.000 [1 per cell]
Ac 0.500 0.500 0.254 [2 per cell]
Ac 0.500 0.500 0.500 [1 per cell]
Sc 0.000 0.000 0.500 [1 per cell]

Entry 8:
First-principles (PBE-GGA) data for crystalline CaAc2Sc at its relaxed geometry, as listed in the Alexandria database.

Computed properties:
For the relative energy among the computed polymorphs, the calculation gives 0.046 eV/atom. The formation energy comes out at 0.113 eV/atom.

a = 6.011 Å, b = 6.011 Å, c = 4.203 Å
α = 90.00°, β = 90.00°, γ = 90.00°
Space group P4/mmm (No. 123)
Unique sites:
Ca 0.000 0.000 0.000 [1 per cell]
Ac 0.000 0.500 0.500 [2 per cell]
Sc 0.500 0.500 0.000 [1 per cell]

Entry 9:
First-principles (PBE-GGA) data for crystalline CaAc2Sc at its relaxed geometry, as listed in the Alexandria database.

Computed properties:
For the relative energy among the computed polymorphs, the calculation gives 0.282 eV/atom. The formation energy comes out at 0.349 eV/atom.

a = 3.6871 Å, b = 3.6871 Å, c = 39.6821 Å
α = 90.00°, β = 90.00°, γ = 120.00°
Space group R-3m (No. 166, hexagonal axes)
Unique sites:
Ca 0.0000 0.0000 0.0000 [3 per cell]
Ac 0.0000 0.0000 0.4181 [6 per cell]
Sc 0.0000 0.0000 0.5000 [3 per cell]

Entry 10:
First-principles (PBE-GGA) data for crystalline CaAcSc at its relaxed geometry, as listed in the Alexandria database.

Computed properties:
For the relative energy among the computed polymorphs, the calculation gives 0.106 eV/atom. The formation energy comes out at 0.160 eV/atom.

a = 3.7366 Å, b = 3.7366 Å, c = 8.9801 Å
α = 90.00°, β = 90.00°, γ = 120.00°
Space group P3m1 (No. 156)
Unique sites:
Ca 0.0000 0.0000 0.0000 [1 per cell]
Ac 0.3333 0.6667 0.6241 [1 per cell]
Sc 0.6667 0.3333 0.3185 [1 per cell]

Entry 11:
First-principles (PBE-GGA) data for crystalline CaAc2Sc at its relaxed geometry, as listed in the Alexandria database.

Computed properties:
For the relative energy among the computed polymorphs, the calculation gives 0.000 eV/atom. The formation energy comes out at 0.067 eV/atom.

a = 4.067 Å, b = 4.067 Å, c = 9.441 Å
α = 90.00°, β = 90.00°, γ = 90.00°
Space group P4/mmm (No. 123)
Unique sites:
Ca 0.000 0.000 0.000 [1 per cell]
Ac 0.500 0.500 0.282 [2 per cell]
Sc 0.000 0.000 0.500 [1 per cell]

Entry 12:
First-principles (PBE-GGA) data for crystalline CaAc2Sc at its relaxed geometry, as listed in the Alexandria database.

Computed properties:
For the relative energy among the computed polymorphs, the calculation gives 0.046 eV/atom. The formation energy comes out at 0.113 eV/atom.

a = 3.8130 Å, b = 3.8130 Å, c = 36.6899 Å
α = 90.00°, β = 90.00°, γ = 120.00°
Space group R3m (No. 160, hexagonal axes)
Unique sites:
Ca 0.0000 0.0000 0.0000 [3 per cell]
Ac 0.0000 0.0000 0.2415 [3 per cell]
Ac 0.0000 0.0000 0.4236 [3 per cell]
Sc 0.0000 0.0000 0.8325 [3 per cell]

| no. | density (g/cm3) | total magnetic moment (μB per cell) |
| --- | --- | --- |
| 1 | 5.2 | 0.00 |
| 2 | 6.6 | 0.00 |
| 3 | 6.8 | 0.00 |
| 4 | 5.9 | 0.00 |
| 5 | 4.6 | 0.00 |
| 6 | 4.8 | 0.00 |
| 7 | 7.0 | 0.00 |
| 8 | 5.9 | 0.00 |
| 9 | 5.7 | 0.00 |
| 10 | 4.8 | 0.00 |
| 11 | 5.7 | 0.00 |
| 12 | 5.8 | 0.00 |